Density functional theory data (GGA-PBE) for a relaxed KZrAs4 crystal.

The structure in POSCAR format:
```
KZrAs4
1.0
0.000 4.030 4.030
4.030 0.000 4.030
4.030 4.030 0.000
K Zr As
1 1 4
direct
0.000 0.000 0.000
0.750 0.750 0.750
0.377 0.377 0.377
0.377 0.377 0.870
0.377 0.870 0.377
0.870 0.377 0.377
```

As for the space-group type: F-43m. For the formation energy, the calculation gives 0.69 eV per formula unit.

***

Density functional theory data (GGA-PBE) for a relaxed Tm6Bi2As crystal.

The structure in POSCAR format:
```
Tm6Bi2As
1.0
6.414 0.000 0.000
0.000 7.967 0.000
-6.043 0.000 10.069
Tm Bi As
12 4 2
direct
0.094 0.194 0.455
0.094 0.306 0.955
0.318 0.672 0.453
0.318 0.828 0.953
0.362 0.026 0.232
0.362 0.474 0.732
0.638 0.526 0.268
0.638 0.974 0.768
0.682 0.172 0.047
0.682 0.328 0.547
0.906 0.694 0.045
0.906 0.806 0.545
0.155 0.116 0.743
0.155 0.384 0.243
0.845 0.616 0.757
0.845 0.884 0.257
0.500 0.000 0.500
0.500 0.500 0.000
```

As for the space-group type: P2_1/c. For the formation energy, the calculation gives -5.56 eV per formula unit.

***

Density functional theory data (GGA-PBE) for a relaxed Tb3In2H crystal.

The structure in POSCAR format:
```
Tb3In2H
1.0
7.083 -3.151 0.000
7.083 3.151 0.000
-0.931 0.000 6.585
Tb In H
6 4 2
direct
0.087 0.913 0.750
0.285 0.469 0.366
0.469 0.285 0.866
0.531 0.715 0.134
0.715 0.531 0.634
0.913 0.087 0.250
0.107 0.260 0.040
0.260 0.107 0.540
0.740 0.893 0.460
0.893 0.740 0.960
0.434 0.566 0.750
0.566 0.434 0.250
```

As for the space-group type: C2/c. Its raw total energy is -4.1378 eV/atom.

***

Density functional theory data (GGA-PBE) for a relaxed Hf2MoAu crystal.

The structure in POSCAR format:
```
Hf2MoAu
1.0
-2.097 2.097 9.437
2.097 -2.097 9.437
2.097 2.097 -9.437
Hf Mo Au
4 2 2
direct
0.118 0.625 0.993
0.375 0.368 0.493
0.632 0.125 0.007
0.875 0.882 0.507
0.000 0.000 0.000
0.750 0.250 0.500
0.250 0.750 0.500
0.500 0.500 0.000
```

As for the space-group type: I-42d. For the formation energy, the calculation gives 1.94 eV per formula unit.

***

Density functional theory data (GGA-PBE) for a relaxed MnAg5Se5 crystal.

The structure in POSCAR format:
```
MnAg5Se5
1.0
6.238 -2.672 0.000
6.238 2.672 0.000
-2.372 0.000 7.225
Mn Ag Se
1 5 5
direct
0.000 0.000 0.000
0.000 0.000 0.500
0.339 0.339 0.183
0.351 0.351 0.646
0.649 0.649 0.354
0.661 0.661 0.817
0.142 0.142 0.830
0.163 0.163 0.324
0.500 0.500 0.000
0.837 0.837 0.676
0.858 0.858 0.170
```

As for the space-group type: C2/m. The value obtained for the uncorrected formation energy is -95 meV per atom.

***

Density functional theory data (GGA-PBE) for a relaxed CaAl2Hg crystal.

The structure in POSCAR format:
```
CaAl2Hg
1.0
1.708 0.986 9.401
-1.708 0.986 9.401
0.000 -1.972 9.401
Ca Al Hg
1 2 1
direct
0.000 0.000 0.000
0.242 0.242 0.242
0.758 0.758 0.758
0.500 0.500 0.500
```

As for the space-group type: R-3m. For the formation energy, the calculation gives 0.44 eV per formula unit.

***

Density functional theory data (GGA-PBE) for a relaxed NaMgBi2 crystal.

The structure in POSCAR format:
```
NaMgBi2
1.0
0.000 3.814 3.814
3.814 0.000 3.814
3.814 3.814 0.000
Na Mg Bi
1 1 2
direct
0.000 0.000 0.000
0.500 0.500 0.500
0.250 0.250 0.250
0.750 0.750 0.750
```

As for the space-group type: Fm-3m. For the formation energy, the calculation gives -0.67 eV per formula unit. Its excess energy over the best structure of this formula in the dataset is 35 meV/atom.

***

Density functional theory data (GGA-PBE) for a relaxed HgBiSbF2 crystal.

The structure in POSCAR format:
```
HgBiSbF2
1.0
4.417 0.000 0.000
0.000 4.417 0.000
0.000 0.000 6.469
Hg Bi Sb F
1 1 1 2
direct
0.000 0.000 0.000
0.500 0.500 0.000
0.500 0.500 0.500
0.000 0.500 0.500
0.500 0.000 0.500
```

As for the space-group type: P4/mmm. The value obtained for the uncorrected formation energy is -1120 meV per atom.

***

Density functional theory data (GGA-PBE) for a relaxed HoPd5Au6 crystal.

The structure in POSCAR format:
```
HoPd5Au6
1.0
2.078 -6.202 0.000
2.078 6.202 0.000
-0.018 0.000 8.100
Ho Pd Au
1 5 6
direct
0.000 0.000 0.000
0.000 0.000 0.500
0.335 0.665 0.000
0.335 0.665 0.500
0.665 0.335 0.000
0.665 0.335 0.500
0.169 0.831 0.256
0.169 0.831 0.744
0.500 0.500 0.259
0.500 0.500 0.741
0.831 0.169 0.256
0.831 0.169 0.744
```

As for the space-group type: C2/m. For the formation energy, the calculation gives -4.03 eV per formula unit. Its excess energy over the best structure of this formula in the dataset is 0 meV/atom.

***

Density functional theory data (GGA-PBE) for a relaxed AcZr2RhO8 crystal.

The structure in POSCAR format:
```
AcZr2RhO8
1.0
4.990 0.000 0.000
0.000 6.772 0.000
-0.163 0.000 5.013
Ac Zr Rh O
1 2 1 8
direct
0.000 0.000 0.000
0.500 0.255 0.500
0.500 0.745 0.500
0.000 0.500 0.000
0.210 0.297 0.199
0.210 0.703 0.199
0.284 0.500 0.708
0.319 0.000 0.659
0.681 0.000 0.341
0.716 0.500 0.292
0.790 0.297 0.801
0.790 0.703 0.801
```

As for the space-group type: P2/m. The value obtained for the uncorrected formation energy is -2401 meV per atom.

***

Density functional theory data (GGA-PBE) for a relaxed TbAlGa4 crystal.

The structure in POSCAR format:
```
TbAlGa4
1.0
5.387 -2.076 0.000
5.387 2.076 0.000
-3.711 0.000 5.182
Tb Al Ga
1 1 4
direct
0.000 0.000 0.000
0.000 0.000 0.500
0.339 0.339 0.126
0.339 0.339 0.554
0.661 0.661 0.446
0.661 0.661 0.874
```

As for the space-group type: C2/m. For the formation energy, the calculation gives -1.95 eV per formula unit. Its excess energy over the best structure of this formula in the dataset is 0 meV/atom.

***

Density functional theory data (GGA-PBE) for a relaxed Sc6As2SeS3 crystal.

The structure in POSCAR format:
```
Sc6As2SeS3
1.0
8.259 -1.890 0.000
8.259 1.890 0.000
-1.741 0.000 7.373
Sc As Se S
6 2 1 3
direct
0.001 0.001 0.233
0.328 0.328 0.416
0.334 0.334 0.914
0.666 0.666 0.086
0.672 0.672 0.584
0.999 0.999 0.767
0.166 0.166 0.832
0.834 0.834 0.168
0.500 0.500 0.500
0.165 0.165 0.334
0.500 0.500 0.000
0.835 0.835 0.666
```

As for the space-group type: C2/m. The value obtained for the uncorrected formation energy is -1682 meV per atom.